This record from the Alexandria database describes La5Nd5Sm after structural relaxation. The functional is PBE-GGA.

```
La5Nd5Sm
1.0
6.3444 0.0000 0.0000
-3.1722 5.4944 0.0000
0.0000 0.0000 11.7213
La Nd Sm
5 5 1
Cartesian
3.1722 1.8315 1.8169
3.1722 1.8315 9.9044
0.0000 3.6630 3.7614
0.0000 3.6630 7.9600
0.0000 0.0000 0.0000
1.6103 0.9297 5.8607
0.0000 0.0000 3.0989
3.1722 3.6351 5.8607
4.7342 0.9297 5.8607
0.0000 0.0000 8.6224
0.0000 3.6630 0.0000
```

Properties
- volume (Å³/cell) = 409
- total magnetization (μB/atom) = 0.000
- uncorrected energy (Ry per atom) = -0.33714
- calculated formation energy (meV per atom) = 249
- energy relative to the lowest polymorph listed for this composition (meV per atom) = 125
- theoretical density (g/cm3) = 6.36